(1)
CeTmPa2 | PBE | optimized geometry

As for the distance to the lowest polymorph of the same formula: 236 meV/atom. The symmetry is R-3m, No. 166. The formation energy is 0.375 eV per atom.

Cell lengths 5.148, 5.148, 5.638 Å; angles 62.83, 62.83, 60.00 degrees
Atoms (fractional coordinates):
Pa (0.787, 0.787, 0.639)
Pa (0.213, 0.213, 0.361)
Ce (0.500, 0.500, 0.500)
Tm (0.000, 0.000, 0.000)

***

(2)
CaAc2HoBi4 | PBE | optimized geometry

The symmetry is P2/m, No. 10. The formation energy is -0.845 eV per atom.

Cell lengths 4.753, 8.024, 8.264 Å; angles 70.09, 90.00, 90.00 degrees
Atoms (fractional coordinates):
Ac (0.000, 0.000, 0.000)
Ac (0.500, 0.000, 0.500)
Bi (0.000, 0.270, 0.249)
Bi (0.500, 0.273, 0.738)
Bi (0.500, 0.727, 0.262)
Bi (0.000, 0.730, 0.751)
Ho (0.000, 0.500, 0.500)
Ca (0.500, 0.500, 0.000)

***

(3)
Sm6PbO12 | PBE | optimized geometry

The uncorrected formation energy is -2.821 eV/atom. The symmetry is R-3, No. 148.

Cell lengths 6.741, 6.741, 6.741 Å; angles 99.22, 99.22, 99.22 degrees
Site moments in Bohr magnetons follow the coordinates.
Atoms (fractional coordinates):
O (0.064, 0.316, 0.943)  0.08
O (0.439, 0.178, 0.584)  0.22
O (0.943, 0.064, 0.316)  0.08
O (0.316, 0.943, 0.064)  0.08
O (0.584, 0.439, 0.178)  0.22
O (0.416, 0.561, 0.822)  0.22
O (0.178, 0.584, 0.439)  0.22
O (0.561, 0.822, 0.416)  0.22
O (0.684, 0.057, 0.936)  0.08
O (0.822, 0.416, 0.561)  0.22
O (0.936, 0.684, 0.057)  0.08
O (0.057, 0.936, 0.684)  0.08
Pb (0.000, 0.000, 0.000)  0.00
Sm (0.608, 0.139, 0.298)  -0.01
Sm (0.392, 0.861, 0.702)  -0.01
Sm (0.861, 0.702, 0.392)  -0.01
Sm (0.139, 0.298, 0.608)  -0.01
Sm (0.702, 0.392, 0.861)  -0.01
Sm (0.298, 0.608, 0.139)  -0.01

***

(4)
SbPSe | PBE | optimized geometry

The uncorrected formation energy is 0.068 eV/atom. As for the distance to the lowest polymorph of the same formula: 80 meV/atom. The symmetry is P1, No. 1.

Cell lengths 5.937, 6.219, 6.289 Å; angles 109.43, 116.77, 99.68 degrees
Atoms (fractional coordinates):
Sb (0.002, 0.760, 0.747)
Sb (0.307, 0.592, 0.130)
P (0.722, 0.294, 0.547)
P (0.800, 0.356, 0.947)
Se (0.151, 0.288, 0.631)
Se (0.723, 0.974, 0.930)

***

(5)
NaTlHgI2 | PBE | optimized geometry

The uncorrected formation energy is -0.560 eV/atom. The symmetry is P4/mmm, No. 123.

Cell lengths 6.084, 6.084, 5.685 Å; angles 90.00, 90.00, 90.00 degrees
Atoms (fractional coordinates):
I (0.000, 0.500, 0.000)
I (0.500, 0.000, 0.000)
Tl (0.500, 0.500, 0.500)
Na (0.000, 0.000, 0.000)
Hg (0.000, 0.000, 0.500)

***

(6)
Sr2SnAu3 | PBE | optimized geometry

The symmetry is Imm2, No. 44. The formation energy is -0.668 eV per atom.

Cell lengths 9.236, 9.236, 9.236 Å; angles 152.51, 152.07, 39.59 degrees
Atoms (fractional coordinates):
Sn (0.960, 0.460, 0.500)
Sr (0.361, 0.861, 0.500)
Sr (0.131, 0.131, 0.000)
Au (0.545, 0.545, 0.000)
Au (0.800, 0.300, 0.500)
Au (0.703, 0.703, 0.000)

***

(7)
Tl3CrCd | PBE | optimized geometry

As for the distance to the lowest polymorph of the same formula: 0 meV/atom. The symmetry is Pm-3m, No. 221. The formation energy is 0.455 eV per atom.

Cell lengths 5.372, 5.372, 5.372 Å; angles 90.00, 90.00, 90.00 degrees
Site moments in Bohr magnetons follow the coordinates.
Atoms (fractional coordinates):
Tl (0.000, 0.000, 0.500)  0.00
Tl (0.500, 0.000, 0.000)  -0.06
Tl (0.000, 0.500, 0.000)  -0.02
Cr (0.000, 0.000, 0.000)  3.03
Cd (0.500, 0.500, 0.500)  -0.01

***

(8)
Er2Ge3Pt5 | PBE | optimized geometry

As for the distance to the lowest polymorph of the same formula: 0 meV/atom. The symmetry is Cmc2_1, No. 36. The formation energy is -0.875 eV per atom.

Cell lengths 4.239, 6.931, 12.344 Å; angles 90.00, 99.89, 90.00 degrees
Atoms (fractional coordinates):
Er (0.524, 0.210, 0.047)
Er (0.476, 0.710, 0.953)
Er (0.177, 0.773, 0.354)
Er (0.823, 0.273, 0.646)
Pt (0.121, 0.177, 0.242)
Pt (0.600, 0.896, 0.200)
Pt (0.280, 0.015, 0.559)
Pt (0.053, 0.519, 0.106)
Pt (0.400, 0.396, 0.800)
Pt (0.720, 0.515, 0.441)
Pt (0.879, 0.677, 0.758)
Pt (0.947, 0.019, 0.894)
Pt (0.701, 0.081, 0.401)
Pt (0.299, 0.581, 0.599)
Ge (0.954, 0.394, 0.908)
Ge (0.780, 0.812, 0.561)
Ge (0.046, 0.894, 0.092)
Ge (0.384, 0.988, 0.767)
Ge (0.616, 0.488, 0.233)
Ge (0.220, 0.312, 0.439)

***

Sequential total magnetization output: 0.00 0.00 2.08 0.00 0.00 0.00 2.93 0.00 μB per formula unit
Sequential calculated total energy output: -0.25630 -0.17035 -0.28067 -0.15696 -0.07268 -0.12988 -0.11291 -0.22760 hartree per atom